First-principles (GGA-PBE) data for MgZn3 after structural relaxation, as listed in the Alexandria database.

Cell lengths 4.2956, 5.5595, 5.5774 Å; angles 90.00, 90.00, 90.00 degrees
Space group Pmmn (No. 59, origin choice 2)
Inequivalent atoms, fractional coordinates:
Mg 0.2500 0.2500 0.1091 [2 per cell]
Zn 0.2500 0.5041 0.6519 [4 per cell]
Zn 0.2500 0.7500 0.2354 [2 per cell]

Values from the calculation:
Fermi-level density of states: 1.29 states/eV/f.u.
crystal system: orthorhombic
total DFT energy (no corrections): -1.420 eV per atom